## LiPaSb2S6 (PBE-GGA)

Data for an optimized crystal structure of LiPaSb2S6.

Output
**SG**: No. 146
**E_tot**: -52.8 eV/f.u.
**Crystal system**: trigonal
**M_tot**: 0.0000 μB per atom
**E_form (uncorrected)**: -843 meV per atom

```
LiPaSb2S6
1.0
6.9884 0.0006 0.0002
3.4946 6.0529 0.0005
3.4941 2.0184 6.1801
S Sb Pa Li
6 2 1 1
Direct
0.4504 0.6922 0.7407 S
0.6922 0.1165 0.7409 S
0.9627 0.6032 0.2448 S
0.1893 0.9627 0.2449 S
0.1166 0.4504 0.7408 S
0.6032 0.1893 0.2448 S
0.0015 0.0016 0.9953 Sb
0.5063 0.5063 0.4812 Sb
0.3250 0.3250 0.0249 Pa
0.8143 0.8144 0.5570 Li
```